Record 1
# YbAlCo

A relaxed YbAlCo crystal (PBE, Alexandria).

Results
formation enthalpy at 0 K = -27.0 kJ/mol of atoms
V = 17.35 A^3/atom
N(E_F) = 3.112 states/eV/atom
crystal system = orthorhombic

Lattice parameters (Å, degrees): 5.266 5.266 8.566 90.00 90.00 118.78
Each line ends with the local moment (μB).
Sites, in units of the cell vectors:
Yb: 0.334 0.666 0.195  0.04
Yb: 0.334 0.666 0.805  0.04
Yb: 0.668 0.332 0.324  0.05
Yb: 0.668 0.332 0.676  0.05
Al: 0.836 0.660 0.000  0.00
Al: 0.995 0.005 0.731  -0.01
Al: 0.340 0.164 0.000  0.00
Al: 0.995 0.005 0.269  -0.01
Co: 0.642 0.820 0.500  1.06
Co: 0.170 0.830 0.500  1.14
Co: 0.180 0.358 0.500  1.06
Co: 0.837 0.163 0.000  0.42

Record 2
# CeRhI

A relaxed CeRhI crystal (PBE, Alexandria).

Results
V = 28.12 A^3/atom
uncorrected formation energy = -2.0 eV/f.u.
N(E_F) = 1.206 states/eV/atom
crystal system = orthorhombic

Lattice parameters (Å, degrees): 4.603 5.168 7.092 90.00 90.00 90.00
Each line ends with the local moment (μB).
Sites, in units of the cell vectors:
Rh: 0.000 0.500 0.353  -0.04
Rh: 0.500 0.000 0.647  -0.04
Ce: 0.000 0.000 0.381  0.27
Ce: 0.500 0.500 0.619  0.27
I: 0.500 0.500 0.134  -0.01
I: 0.000 0.000 0.866  -0.01